Material: Cs2LiHoI6
Method: DFT, PBE-GGA
State: optimized geometry

ΔE_f (raw) (eV per atom): -1.441
Calculated volume (Å³ per cell): 2681.7
N(E_F) (states/eV per atom): 0.00

a b c (Å): 8.5248 8.5248 42.6103
angles (deg): 90.00 90.00 120.00
Space group R-3m (No. 166, hexagonal axes)
Unique sites:
Cs 0.0000 0.0000 0.1219 (multiplicity 6)
Cs 0.0000 0.0000 0.2918 (multiplicity 6)
Li 0.0000 0.0000 0.0000 (multiplicity 3)
Li 0.0000 0.0000 0.5000 (multiplicity 3)
Ho 0.0000 0.0000 0.4152 (multiplicity 6)
I 0.0012 0.5006 0.7076 (multiplicity 18)
I 0.0059 0.5030 0.1241 (multiplicity 18)